This record from the Alexandria database describes an optimized crystal structure of MnCdCO4. The functional is GGA+U.

Geometry as CIF:
```
data_MnCdCO4
_symmetry_space_group_name_H-M 'I m m a'
_symmetry_Int_Tables_number 74
_symmetry_space_group_name_Hall '-I 2b 2'
_cell_length_a 5.705
_cell_length_b 6.032
_cell_length_c 8.250
_cell_angle_alpha 90.00
_cell_angle_beta 90.00
_cell_angle_gamma 90.00
loop_
_atom_site_label
_atom_site_fract_x
_atom_site_fract_y
_atom_site_fract_z
_atom_site_occupancy
Mn1 0.000 0.000 0.000 1
Cd1 0.250 0.250 0.250 1
C1 0.000 0.250 0.628 1
O1 0.000 0.061 0.724 1
O2 0.214 0.250 0.524 1
```

The spin magnetization is 5.00 μB/f.u. Its total energy is -6.243 eV/atom.